1.
DFT (PBE) results for crystalline Pm2ZnSi4Au3 at its relaxed geometry.

Geometry as CIF:
```
data_Pm2ZnSi4Au3
_cell_length_a 4.226
_cell_length_b 4.226
_cell_length_c 10.687
_cell_angle_alpha 90.00
_cell_angle_beta 90.00
_cell_angle_gamma 90.00
_symmetry_space_group_name_H-M 'P -4 m 2'
_symmetry_Int_Tables_number 115
loop_
_symmetry_equiv_pos_as_xyz
'x,y,z'
'y,-x,-z'
'-x,-y,z'
'-y,x,-z'
'-x,y,z'
'-y,-x,-z'
'x,-y,z'
'y,x,-z'
loop_
_atom_site_label
_atom_site_type_symbol
_atom_site_fract_x
_atom_site_fract_y
_atom_site_fract_z
Pm1 Pm 0.000 0.500 0.243
Zn1 Zn 0.500 0.500 0.000
Si1 Si 0.000 0.000 0.500
Si2 Si 0.000 0.500 0.865
Si3 Si 0.500 0.500 0.500
Au1 Au 0.000 0.000 0.000
Au2 Au 0.000 0.500 0.635
```

Its volume is 190.9 Å³/cell. The density is 9.211 g/cm3. For the formation energy without anion corrections, the calculation gives -0.53 eV/atom.

2.
DFT (PBE) results for crystalline Pm2ZnSiAu6 at its relaxed geometry.

Geometry as CIF:
```
data_Pm2ZnSiAu6
_cell_length_a 9.667
_cell_length_b 9.667
_cell_length_c 9.667
_cell_angle_alpha 90.00
_cell_angle_beta 90.00
_cell_angle_gamma 90.00
_symmetry_space_group_name_H-M 'F m -3 m'
_symmetry_Int_Tables_number 225
_symmetry_space_group_name_Hall '-F 4 2 3'
loop_
_atom_site_label
_atom_site_type_symbol
_atom_site_fract_x
_atom_site_fract_y
_atom_site_fract_z
Pm1 Pm 0.250 0.250 0.250
Zn1 Zn 0.000 0.000 0.000
Si1 Si 0.000 0.000 0.500
Au1 Au 0.000 0.000 0.254
```

Its volume is 903.4 Å³/cell. The density is 11.509 g/cm3. For the formation energy without anion corrections, the calculation gives -0.31 eV/atom.

3.
DFT (PBE) results for crystalline PmSm3Au2 at its relaxed geometry.

Geometry as CIF:
```
data_PmSm3Au2
_cell_length_a 16.156
_cell_length_b 5.299
_cell_length_c 8.773
_cell_angle_alpha 90.00
_cell_angle_beta 114.38
_cell_angle_gamma 90.00
_symmetry_space_group_name_H-M 'C 1 2/m 1'
_symmetry_Int_Tables_number 12
loop_
_symmetry_equiv_pos_as_xyz
'x,y,z'
'-x,-y,-z'
'-x,y,-z'
'x,-y,z'
'x+1/2,y+1/2,z'
'-x+1/2,-y+1/2,-z'
'-x+1/2,y+1/2,-z'
'x+1/2,-y+1/2,z'
loop_
_atom_site_label
_atom_site_type_symbol
_atom_site_fract_x
_atom_site_fract_y
_atom_site_fract_z
Pm1 Pm 0.136 0.000 0.206
Sm1 Sm 0.062 0.000 0.730
Sm2 Sm 0.123 0.500 0.516
Sm3 Sm 0.193 0.500 0.006
Au1 Au 0.006 0.500 0.164
Au2 Au 0.220 0.000 0.613
```

Its volume is 684.1 Å³/cell. The density is 9.612 g/cm3. Its electronic total energy is -28.21 eV per formula unit.

4.
DFT (PBE) results for crystalline PmSmAu3 at its relaxed geometry.

Geometry as CIF:
```
data_PmSmAu3
_cell_length_a 9.554
_cell_length_b 6.429
_cell_length_c 7.768
_cell_angle_alpha 90.00
_cell_angle_beta 91.04
_cell_angle_gamma 90.00
_symmetry_space_group_name_H-M 'P 1 21/c 1'
_symmetry_Int_Tables_number 14
loop_
_symmetry_equiv_pos_as_xyz
'x,y,z'
'-x,-y,-z'
'-x,y+1/2,-z+1/2'
'x,-y+1/2,z+1/2'
loop_
_atom_site_label
_atom_site_type_symbol
_atom_site_fract_x
_atom_site_fract_y
_atom_site_fract_z
Pm1 Pm 0.093 0.158 0.186
Sm1 Sm 0.416 0.665 0.681
Au1 Au 0.126 0.637 0.032
Au2 Au 0.252 0.503 0.370
Au3 Au 0.368 0.127 0.526
```

Its volume is 477.0 Å³/cell. The density is 12.340 g/cm3. Its electronic total energy is -23.10 eV per formula unit.

5.
DFT (PBE) results for crystalline PmSmAu at its relaxed geometry.

Geometry as CIF:
```
data_PmSmAu
_cell_length_a 3.692
_cell_length_b 3.692
_cell_length_c 12.540
_cell_angle_alpha 90.00
_cell_angle_beta 90.00
_cell_angle_gamma 90.00
_symmetry_space_group_name_H-M 'I 4 m m'
_symmetry_Int_Tables_number 107
_symmetry_space_group_name_Hall 'I 4 -2'
loop_
_atom_site_label
_atom_site_type_symbol
_atom_site_fract_x
_atom_site_fract_y
_atom_site_fract_z
Pm1 Pm 0.000 0.000 0.000
Sm1 Sm 0.000 0.000 0.289
Au1 Au 0.000 0.000 0.647
```

Its volume is 170.9 Å³/cell. The density is 9.565 g/cm3. Its electronic total energy is -14.23 eV per formula unit.

6.
DFT (PBE) results for crystalline PmSm3Au3 at its relaxed geometry.

Geometry as CIF:
```
data_PmSm3Au3
_cell_length_a 9.724
_cell_length_b 10.946
_cell_length_c 7.340
_cell_angle_alpha 90.00
_cell_angle_beta 91.05
_cell_angle_gamma 90.00
_symmetry_space_group_name_H-M 'C 1 2/m 1'
_symmetry_Int_Tables_number 12
loop_
_symmetry_equiv_pos_as_xyz
'x,y,z'
'-x,-y,-z'
'-x,y,-z'
'x,-y,z'
'x+1/2,y+1/2,z'
'-x+1/2,-y+1/2,-z'
'-x+1/2,y+1/2,-z'
'x+1/2,-y+1/2,z'
loop_
_atom_site_label
_atom_site_type_symbol
_atom_site_fract_x
_atom_site_fract_y
_atom_site_fract_z
Pm1 Pm 0.243 0.000 0.364
Sm1 Sm 0.000 0.248 0.500
Sm2 Sm 0.000 0.322 0.000
Sm3 Sm 0.141 0.000 0.857
Au1 Au 0.068 0.500 0.309
Au2 Au 0.243 0.251 0.228
```

Its volume is 781.1 Å³/cell. The density is 10.093 g/cm3. Its electronic total energy is -32.95 eV per formula unit.

7.
DFT (PBE) results for crystalline PmSm3Au at its relaxed geometry.

Geometry as CIF:
```
data_PmSm3Au
_cell_length_a 11.835
_cell_length_b 8.650
_cell_length_c 8.031
_cell_angle_alpha 90.00
_cell_angle_beta 125.70
_cell_angle_gamma 90.00
_symmetry_space_group_name_H-M 'C 1 2/m 1'
_symmetry_Int_Tables_number 12
loop_
_symmetry_equiv_pos_as_xyz
'x,y,z'
'-x,-y,-z'
'-x,y,-z'
'x,-y,z'
'x+1/2,y+1/2,z'
'-x+1/2,-y+1/2,-z'
'-x+1/2,y+1/2,-z'
'x+1/2,-y+1/2,z'
loop_
_atom_site_label
_atom_site_type_symbol
_atom_site_fract_x
_atom_site_fract_y
_atom_site_fract_z
Pm1 Pm 0.080 0.000 0.273
Sm1 Sm 0.044 0.500 0.308
Sm2 Sm 0.190 0.200 0.717
Au1 Au 0.230 0.000 0.068
```

Its volume is 667.7 Å³/cell. The density is 7.890 g/cm3. Its electronic total energy is -23.18 eV per formula unit.

8.
DFT (PBE) results for crystalline PmSm2Au3 at its relaxed geometry.

Geometry as CIF:
```
data_PmSm2Au3
_cell_length_a 5.226
_cell_length_b 15.687
_cell_length_c 7.307
_cell_angle_alpha 90.00
_cell_angle_beta 90.00
_cell_angle_gamma 90.00
_symmetry_space_group_name_H-M 'C m m m'
_symmetry_Int_Tables_number 65
_symmetry_space_group_name_Hall '-C 2 2'
loop_
_atom_site_label
_atom_site_type_symbol
_atom_site_fract_x
_atom_site_fract_y
_atom_site_fract_z
Pm1 Pm 0.000 0.167 0.000
Sm1 Sm 0.000 0.167 0.500
Sm2 Sm 0.000 0.500 0.000
Sm3 Sm 0.000 0.500 0.500
Au1 Au 0.000 0.000 0.251
Au2 Au 0.000 0.334 0.252
```

Its volume is 599.0 Å³/cell. The density is 11.495 g/cm3. Its electronic total energy is -28.78 eV per formula unit.

9.
DFT (PBE) results for crystalline PmSmAu2 at its relaxed geometry.

Geometry as CIF:
```
data_PmSmAu2
_cell_length_a 3.847
_cell_length_b 4.769
_cell_length_c 5.941
_cell_angle_alpha 90.00
_cell_angle_beta 108.96
_cell_angle_gamma 90.00
_symmetry_space_group_name_H-M 'P 1 m 1'
_symmetry_Int_Tables_number 6
loop_
_symmetry_equiv_pos_as_xyz
'x,y,z'
'x,-y,z'
loop_
_atom_site_label
_atom_site_type_symbol
_atom_site_fract_x
_atom_site_fract_y
_atom_site_fract_z
Pm1 Pm 0.000 0.000 0.000
Sm1 Sm 0.276 0.500 0.551
Au1 Au 0.551 0.500 0.102
Au2 Au 0.726 0.000 0.450
```

Its volume is 103.1 Å³/cell. The density is 11.104 g/cm3. Its electronic total energy is -19.33 eV per formula unit.

10.
DFT (PBE) results for crystalline Pm3SmAu4 at its relaxed geometry.

Geometry as CIF:
```
data_Pm3SmAu4
_cell_length_a 3.869
_cell_length_b 7.152
_cell_length_c 16.000
_cell_angle_alpha 90.00
_cell_angle_beta 90.00
_cell_angle_gamma 90.00
_symmetry_space_group_name_H-M 'I m m m'
_symmetry_Int_Tables_number 71
_symmetry_space_group_name_Hall '-I 2 2'
loop_
_atom_site_label
_atom_site_type_symbol
_atom_site_fract_x
_atom_site_fract_y
_atom_site_fract_z
Pm1 Pm 0.000 0.000 0.000
Pm2 Pm 0.000 0.500 0.204
Sm1 Sm 0.000 0.000 0.500
Au1 Au 0.000 0.298 0.371
```

Its volume is 442.7 Å³/cell. The density is 10.301 g/cm3. Its electronic total energy is -37.15 eV per formula unit.

11.
DFT (PBE) results for crystalline PmSmAu at its relaxed geometry.

Geometry as CIF:
```
data_PmSmAu
_cell_length_a 7.198
_cell_length_b 7.198
_cell_length_c 7.198
_cell_angle_alpha 90.00
_cell_angle_beta 90.00
_cell_angle_gamma 90.00
_symmetry_space_group_name_H-M 'F -4 3 m'
_symmetry_Int_Tables_number 216
_symmetry_space_group_name_Hall 'F -4 2 3'
loop_
_atom_site_label
_atom_site_type_symbol
_atom_site_fract_x
_atom_site_fract_y
_atom_site_fract_z
Pm1 Pm 0.000 0.000 0.000
Sm1 Sm 0.000 0.000 0.500
Au1 Au 0.250 0.250 0.250
```

Its volume is 373.0 Å³/cell. The density is 8.768 g/cm3. Its electronic total energy is -13.88 eV per formula unit.

12.
DFT (PBE) results for crystalline PmSmAu at its relaxed geometry.

Geometry as CIF:
```
data_PmSmAu
_cell_length_a 8.5547
_cell_length_b 8.5547
_cell_length_c 3.9694
_cell_angle_alpha 90.00
_cell_angle_beta 90.00
_cell_angle_gamma 120.00
_symmetry_space_group_name_H-M 'P -6 2 m'
_symmetry_Int_Tables_number 189
_symmetry_space_group_name_Hall 'P -6 -2'
loop_
_atom_site_label
_atom_site_type_symbol
_atom_site_fract_x
_atom_site_fract_y
_atom_site_fract_z
Pm1 Pm 0.0000 0.2661 0.0000
Sm1 Sm 0.0000 0.5970 0.5000
Au1 Au 0.0000 0.0000 0.5000
Au2 Au 0.3333 0.6667 0.0000
```

Its volume is 251.6 Å³/cell. The density is 9.749 g/cm3. Its electronic total energy is -14.17 eV per formula unit.

13.
DFT (PBE) results for crystalline Pm3SmAu4 at its relaxed geometry.

Geometry as CIF:
```
data_Pm3SmAu4
_cell_length_a 7.385
_cell_length_b 7.385
_cell_length_c 7.385
_cell_angle_alpha 90.00
_cell_angle_beta 90.00
_cell_angle_gamma 90.00
_symmetry_space_group_name_H-M 'I m -3 m'
_symmetry_Int_Tables_number 229
_symmetry_space_group_name_Hall '-I 4 2 3'
loop_
_atom_site_label
_atom_site_type_symbol
_atom_site_fract_x
_atom_site_fract_y
_atom_site_fract_z
Pm1 Pm 0.000 0.000 0.500
Sm1 Sm 0.000 0.000 0.000
Au1 Au 0.250 0.250 0.250
```

Its volume is 402.8 Å³/cell. The density is 11.322 g/cm3. Its electronic total energy is -38.33 eV per formula unit.

14.
DFT (PBE) results for crystalline Pm2Sm3Au7 at its relaxed geometry.

Geometry as CIF:
```
data_Pm2Sm3Au7
_cell_length_a 5.165
_cell_length_b 21.911
_cell_length_c 5.393
_cell_angle_alpha 90.00
_cell_angle_beta 90.00
_cell_angle_gamma 90.00
_symmetry_space_group_name_H-M 'C m m m'
_symmetry_Int_Tables_number 65
_symmetry_space_group_name_Hall '-C 2 2'
loop_
_atom_site_label
_atom_site_type_symbol
_atom_site_fract_x
_atom_site_fract_y
_atom_site_fract_z
Pm1 Pm 0.000 0.142 0.000
Sm1 Sm 0.000 0.335 0.500
Sm2 Sm 0.000 0.500 0.500
Au1 Au 0.000 0.000 0.000
Au2 Au 0.000 0.085 0.500
Au3 Au 0.000 0.280 0.000
Au4 Au 0.000 0.428 0.000
```

Its volume is 610.3 Å³/cell. The density is 11.535 g/cm3. Its electronic total energy is -54.62 eV per formula unit.

15.
DFT (PBE) results for crystalline PmSmAu at its relaxed geometry.

Geometry as CIF:
```
data_PmSmAu
_cell_length_a 7.236
_cell_length_b 5.092
_cell_length_c 9.230
_cell_angle_alpha 90.00
_cell_angle_beta 90.00
_cell_angle_gamma 90.00
_symmetry_space_group_name_H-M 'P n m a'
_symmetry_Int_Tables_number 62
loop_
_symmetry_equiv_pos_as_xyz
'x,y,z'
'-x,-y,-z'
'-x+1/2,-y,z+1/2'
'x+1/2,y,-z+1/2'
'x+1/2,-y+1/2,-z+1/2'
'-x+1/2,y+1/2,z+1/2'
'-x,y+1/2,-z'
'x,-y+1/2,z'
loop_
_atom_site_label
_atom_site_type_symbol
_atom_site_fract_x
_atom_site_fract_y
_atom_site_fract_z
Pm1 Pm 0.152 0.250 0.085
Sm1 Sm 0.008 0.250 0.676
Au1 Au 0.239 0.250 0.404
```

Its volume is 340.1 Å³/cell. The density is 9.616 g/cm3. Its electronic total energy is -14.46 eV per formula unit.

16.
DFT (PBE) results for crystalline PmSmAu2 at its relaxed geometry.

Geometry as CIF:
```
data_PmSmAu2
_cell_length_a 3.682
_cell_length_b 3.682
_cell_length_c 7.367
_cell_angle_alpha 90.00
_cell_angle_beta 90.00
_cell_angle_gamma 90.00
_symmetry_space_group_name_H-M 'P 4/m m m'
_symmetry_Int_Tables_number 123
_symmetry_space_group_name_Hall '-P 4 2'
loop_
_atom_site_label
_atom_site_type_symbol
_atom_site_fract_x
_atom_site_fract_y
_atom_site_fract_z
Pm1 Pm 0.000 0.000 0.000
Sm1 Sm 0.000 0.000 0.500
Au1 Au 0.500 0.500 0.254
```

Its volume is 99.9 Å³/cell. The density is 11.462 g/cm3. Its electronic total energy is -19.19 eV per formula unit.

17.
DFT (PBE) results for crystalline Pm2SmAu at its relaxed geometry.

Geometry as CIF:
```
data_Pm2SmAu
_cell_length_a 3.8079
_cell_length_b 3.8079
_cell_length_c 30.2585
_cell_angle_alpha 90.00
_cell_angle_beta 90.00
_cell_angle_gamma 120.00
_symmetry_space_group_name_H-M 'R 3 m'
_symmetry_Int_Tables_number 160
_symmetry_space_group_name_Hall 'R 3 -2"'
loop_
_atom_site_label
_atom_site_type_symbol
_atom_site_fract_x
_atom_site_fract_y
_atom_site_fract_z
Pm1 Pm 0.0000 0.0000 0.0000
Pm2 Pm 0.0000 0.0000 0.1933
Sm1 Sm 0.0000 0.0000 0.7636
Au1 Au 0.0000 0.0000 0.5968
```

Its volume is 380.0 Å³/cell. The density is 8.356 g/cm3. Its electronic total energy is -18.49 eV per formula unit.

18.
DFT (PBE) results for crystalline Pm2Sm2Au5 at its relaxed geometry.

Geometry as CIF:
```
data_Pm2Sm2Au5
_cell_length_a 15.151
_cell_length_b 7.886
_cell_length_c 7.927
_cell_angle_alpha 90.00
_cell_angle_beta 90.00
_cell_angle_gamma 90.00
_symmetry_space_group_name_H-M 'C m c e'
_symmetry_Int_Tables_number 64
_symmetry_space_group_name_Hall '-C 2ac 2'
loop_
_atom_site_label
_atom_site_type_symbol
_atom_site_fract_x
_atom_site_fract_y
_atom_site_fract_z
Pm1 Pm 0.198 0.000 0.000
Sm1 Sm 0.000 0.155 0.346
Au1 Au 0.000 0.000 0.000
Au2 Au 0.137 0.151 0.650
```

Its volume is 947.1 Å³/cell. The density is 11.050 g/cm3. Its electronic total energy is -41.62 eV per formula unit.

19.
DFT (PBE) results for crystalline PmSm3Au7 at its relaxed geometry.

Geometry as CIF:
```
data_PmSm3Au7
_cell_length_a 3.805
_cell_length_b 22.613
_cell_length_c 12.702
_cell_angle_alpha 90.00
_cell_angle_beta 90.00
_cell_angle_gamma 90.00
_symmetry_space_group_name_H-M 'C m c m'
_symmetry_Int_Tables_number 63
_symmetry_space_group_name_Hall '-C 2c 2'
loop_
_atom_site_label
_atom_site_type_symbol
_atom_site_fract_x
_atom_site_fract_y
_atom_site_fract_z
Pm1 Pm 0.000 0.002 0.250
Sm1 Sm 0.000 0.144 0.559
Sm2 Sm 0.000 0.185 0.250
Au1 Au 0.000 0.278 0.571
Au2 Au 0.000 0.380 0.250
Au3 Au 0.000 0.403 0.634
Au4 Au 0.000 0.460 0.076
```

Its volume is 1092.9 Å³/cell. The density is 12.002 g/cm3. Its electronic total energy is -49.75 eV per formula unit.

20.
DFT (PBE) results for crystalline Pm3Sm2Au4 at its relaxed geometry.

Geometry as CIF:
```
data_Pm3Sm2Au4
_cell_length_a 7.450
_cell_length_b 16.015
_cell_length_c 8.486
_cell_angle_alpha 90.00
_cell_angle_beta 90.00
_cell_angle_gamma 90.00
_symmetry_space_group_name_H-M 'C m c e'
_symmetry_Int_Tables_number 64
_symmetry_space_group_name_Hall '-C 2ac 2'
loop_
_atom_site_label
_atom_site_type_symbol
_atom_site_fract_x
_atom_site_fract_y
_atom_site_fract_z
Pm1 Pm 0.000 0.000 0.000
Pm2 Pm 0.250 0.217 0.250
Sm1 Sm 0.000 0.097 0.598
Au1 Au 0.000 0.192 0.961
Au2 Au 0.250 0.033 0.250
```

Its volume is 1012.4 Å³/cell. The density is 9.996 g/cm3. Its electronic total energy is -42.17 eV per formula unit.